Entry 1:
Ti2NbNi2 | PBE | optimized geometry

Cell and atoms, written as POSCAR:
```
Ti2NbNi2
1.0
-1.9565 1.9565 5.0441
1.9565 -1.9565 5.0441
1.9565 1.9565 -5.0441
Ti Nb Ni
2 1 2
Cartesian
1.9565 0.0000 2.5221 Ti
0.0000 1.9565 2.5221 Ti
0.0000 0.0000 0.0000 Nb
0.0000 0.0000 3.9512 Ni
0.0000 0.0000 6.1370 Ni
```

Output
Formation energy from the elements   0.004 eV per atom
Uncorrected energy   -7.48 eV/atom
ΔE to the lowest computed polymorph   243 meV/atom
Space-group type   I4/mmm (139)

=====

Entry 2:
PrSmInPd | PBE | optimized geometry

Cell and atoms, written as POSCAR:
```
PrSmInPd
1.0
0.0000 3.7618 3.7618
3.7618 0.0000 3.7618
3.7618 3.7618 0.0000
Pr Sm In Pd
1 1 1 1
Cartesian
0.0000 0.0000 0.0000 Pr
3.7618 3.7618 3.7618 Sm
1.8809 1.8809 1.8809 In
5.6427 5.6427 5.6427 Pd
```

Output
Formation energy from the elements   -0.523 eV per atom
Uncorrected energy   -4.88 eV/atom
Space-group type   F-43m (216)

=====

Entry 3:
AcZnGe3 | PBE | optimized geometry

Cell and atoms, written as POSCAR:
```
AcZnGe3
1.0
2.2943 -10.9767 0.0000
2.2943 10.9767 0.0000
0.0000 0.0000 4.6089
Ac Zn Ge
2 2 6
Cartesian
2.2943 7.3253 0.0000 Ac
2.2943 -7.3253 0.0000 Ac
2.2943 2.3849 2.3045 Zn
2.2943 -2.3849 2.3045 Zn
2.2943 9.7425 2.3045 Ge
2.2943 4.8863 2.3045 Ge
2.2943 1.2295 0.0000 Ge
2.2943 -1.2295 0.0000 Ge
2.2943 -4.8863 2.3045 Ge
2.2943 -9.7425 2.3045 Ge
```

Output
Formation energy from the elements   -0.325 eV per atom
Uncorrected energy   -4.17 eV/atom
ΔE to the lowest computed polymorph   27 meV/atom
Space-group type   Cmmm (65)

=====

Entry 4:
Pr5Nd2SmSc | PBE | optimized geometry

Cell and atoms, written as POSCAR:
```
Pr5Nd2SmSc
1.0
-4.3204 4.3204 8.4316
4.3204 -4.3204 8.4316
4.3204 4.3204 -8.4316
Pr Nd Sm Sc
10 4 2 2
Cartesian
0.0000 0.0000 0.0000 Pr
6.1700 1.8496 -2.4396 Pr
1.8496 2.4708 -2.4396 Pr
6.1700 1.8496 2.4396 Pr
1.8496 2.4708 2.4396 Pr
0.0000 0.0000 8.4316 Pr
2.4708 1.8496 5.9920 Pr
-1.8496 2.4708 5.9920 Pr
2.4708 1.8496 10.8712 Pr
-1.8496 2.4708 10.8712 Pr
3.2568 1.0636 0.0000 Nd
3.2568 -1.0636 8.4316 Nd
1.0636 5.3840 0.0000 Nd
1.0636 3.2568 8.4316 Nd
0.0000 0.0000 4.2158 Sm
0.0000 0.0000 12.6474 Sm
4.3204 0.0000 4.2158 Sc
0.0000 4.3204 4.2158 Sc
```

Output
Formation energy from the elements   0.280 eV per atom
Uncorrected energy   -4.66 eV/atom
Space-group type   I4/mcm (140)

=====

Entry 5:
In2P | PBE | optimized geometry

Cell and atoms, written as POSCAR:
```
In2P
1.0
6.6649 -1.8004 0.0000
6.6649 1.8004 0.0000
-3.5834 0.0000 5.9893
In P
4 2
Cartesian
1.3320 0.0000 0.8105 In
-0.4620 0.0000 3.8090 In
10.2084 0.0000 2.1803 In
8.4144 0.0000 5.1788 In
5.7735 0.0000 1.5000 P
3.9729 0.0000 4.4893 P
```

Output
Formation energy from the elements   0.165 eV per atom
Uncorrected energy   -3.46 eV/atom
ΔE to the lowest computed polymorph   199 meV/atom
Space-group type   C2/m (12)